An optimized crystal structure of ZrSiPb. Source: the Alexandria database, functional PBE.

Values from the calculation:
- DOS at the Fermi energy: 1.9 states/eV/f.u.
- Total moment: 0.00 μB per atom
- Energy relative to the elements, uncorrected: 0.121 eV/atom
- Crystal system: trigonal

Cell: 3.2798 3.2798 7.2053 Å, 90.00 90.00 120.00°
Closest atoms and distances in Å follow each position.
Space group P3m1 (No. 156)
One atom of each set of equivalent atoms:
1 Zr 0.0000 0.0000 0.0000 [1 per cell]  3 Si 2.82
2 Si 0.3333 0.6667 0.7107 [1 per cell]  3 Zr 2.82, 3 Pb 3.14
3 Pb 0.6667 0.3333 0.3637 [1 per cell]  3 Si 3.14, 3 Zr 3.23, 6 Pb 3.28